(1)
# Pu8Ga2Tc, optimized geometry, DFT GGA-PBE
data_Pu8Ga2Tc
_chemical_formula_sum 'Pu8 Ga2 Tc1'
_cell_length_a 7.857
_cell_length_b 7.857
_cell_length_c 6.930
_cell_angle_alpha 111.59
_cell_angle_beta 111.59
_cell_angle_gamma 37.55
_space_group_name_H-M_alt 'P 1'
_space_group_IT_number 1
loop_
_space_group_symop_operation_xyz
'x,y,z'
loop_
_atom_site_label
_atom_site_type_symbol
_atom_site_fract_x
_atom_site_fract_y
_atom_site_fract_z
Pu1 Pu 0.004 0.004 0.296
Pu2 Pu 0.149 0.149 0.176
Pu3 Pu 0.349 0.349 0.110
Pu4 Pu 0.393 0.393 0.566
Pu5 Pu 0.607 0.607 0.434
Pu6 Pu 0.651 0.651 0.890
Pu7 Pu 0.851 0.851 0.824
Pu8 Pu 0.996 0.996 0.704
Ga1 Ga 0.200 0.200 0.671
Ga2 Ga 0.800 0.800 0.329
Tc1 Tc 0.500 0.500 0.000
# DFT total energy: -131.2 eV for the cell shown
# total magnetization: 21.06 μB/f.u.

=====

(2)
# CdInFe2, optimized geometry, DFT GGA-PBE
data_CdInFe2
_chemical_formula_sum 'Cd1 In1 Fe2'
_cell_length_a 4.533
_cell_length_b 4.533
_cell_length_c 4.533
_cell_angle_alpha 60.00
_cell_angle_beta 60.00
_cell_angle_gamma 60.00
_space_group_name_H-M_alt 'P 1'
_space_group_IT_number 1
loop_
_space_group_symop_operation_xyz
'x,y,z'
loop_
_atom_site_label
_atom_site_type_symbol
_atom_site_fract_x
_atom_site_fract_y
_atom_site_fract_z
Cd1 Cd 0.000 0.000 0.000
In1 In 0.250 0.250 0.250
Fe1 Fe 0.500 0.500 0.500
Fe2 Fe 0.750 0.750 0.750
# DFT total energy: -19.0 eV for the cell shown
# total magnetization: 5.04 μB/f.u.